1.
## ZnCdIn2H (GGA-PBE)

Data for an optimized crystal structure of ZnCdIn2H.

Unit cell a=5.6069 b=5.6069 c=3.3454 alpha=90.00 beta=90.00 gamma=90.00
Sites, in units of the cell vectors:
H (0.0000, 0.0000, 0.5000)
Zn (0.0000, 0.0000, 0.0000)
Cd (0.5000, 0.5000, 0.5000)
In (0.0000, 0.5000, 0.0000)
In (0.5000, 0.0000, 0.0000)

Results
E   -9.941 eV per cell
Magnetization   0.00 μB per formula unit

=====

2.
## TePdCl3 (GGA-PBE)

Data for an optimized crystal structure of TePdCl3.

Unit cell a=3.5499 b=8.5004 c=12.9036 alpha=100.46 beta=86.48 gamma=51.59
Sites, in units of the cell vectors:
Te (0.4686, 0.0964, 0.0786)
Te (0.2200, 0.6643, 0.9805)
Pd (0.0481, 0.3884, 0.6881)
Pd (0.6397, 0.3723, 0.3709)
Cl (0.5187, 0.1265, 0.3104)
Cl (0.4096, 0.6091, 0.1541)
Cl (0.2795, 0.1516, 0.9051)
Cl (0.9171, 0.1495, 0.6255)
Cl (0.1691, 0.6342, 0.7488)
Cl (0.7706, 0.6112, 0.4334)

Results
Formation energy without anion corrections   -30.97 kJ/mol of atoms
Magnetization   0.26 μB per formula unit
Energy above the lowest structure with this stoichiometry   0 meV per atom

=====

3.
## KHf3Tl (GGA-PBE)

Data for an optimized crystal structure of KHf3Tl.

Unit cell a=5.4863 b=5.4863 c=5.4863 alpha=90.00 beta=90.00 gamma=90.00
Sites, in units of the cell vectors:
Tl (0.0000, 0.0000, 0.0000)
Hf (0.0000, 0.5000, 0.0000)
Hf (0.0000, 0.0000, 0.5000)
Hf (0.5000, 0.0000, 0.0000)
K (0.5000, 0.5000, 0.5000)

Results
Magnetization   2.16 μB per formula unit
Formation energy   143.5 kJ/mol of atoms
Energy above the lowest structure with this stoichiometry   0 meV per atom

=====

4.
## Mg2InSnHg4 (GGA-PBE)

Data for an optimized crystal structure of Mg2InSnHg4.

Unit cell a=6.0724 b=6.0724 c=6.8779 alpha=105.49 beta=105.49 gamma=113.27
Sites, in units of the cell vectors:
Mg (0.2500, 0.7500, 0.5000)
Mg (0.0000, 0.0000, 0.0000)
In (0.5000, 0.5000, 0.0000)
Sn (0.7500, 0.2500, 0.5000)
Hg (0.0059, 0.5059, 0.0119)
Hg (0.4941, 0.9941, 0.9881)
Hg (0.7562, 0.7562, 0.5123)
Hg (0.2438, 0.2438, 0.4877)

Results
Magnetization   0.00 μB per formula unit
Formation energy   -3.9 kJ/mol of atoms

=====

5.
## Li2SiTe4Pb (GGA-PBE)

Data for an optimized crystal structure of Li2SiTe4Pb.

Unit cell a=8.4698 b=8.4698 c=8.6519 alpha=120.71 beta=120.71 gamma=90.16
Sites, in units of the cell vectors:
Li (0.5000, 0.0000, 0.0000)
Li (0.5000, 0.0000, 0.5000)
Li (0.0000, 0.0000, 0.5000)
Li (0.5000, 0.5000, 0.0000)
Si (0.5000, 0.5000, 0.5000)
Si (0.0000, 0.0000, 0.0000)
Te (0.2616, 0.7847, 0.0231)
Te (0.7153, 0.2384, 0.4769)
Te (0.2847, 0.7616, 0.5231)
Te (0.7384, 0.2153, 0.9769)
Te (0.7393, 0.7607, 0.9800)
Te (0.7393, 0.7607, 0.5200)
Te (0.2607, 0.2393, 0.4800)
Te (0.2607, 0.2393, 0.0200)
Pb (0.0000, 0.5000, 0.0000)
Pb (0.0000, 0.5000, 0.5000)

Results
Formation energy without anion corrections   -33.95 kJ/mol of atoms
Magnetization   0.00 μB per formula unit

=====

6.
## PrAsPd (GGA-PBE)

Data for an optimized crystal structure of PrAsPd.

Unit cell a=4.4990 b=4.4990 c=7.8931 alpha=90.00 beta=90.00 gamma=117.66
Sites, in units of the cell vectors:
Pr (0.5000, 0.5000, 0.2581)
Pr (0.5000, 0.5000, 0.7419)
As (0.8120, 0.1880, 0.0000)
As (0.1880, 0.8120, 0.0000)
Pd (0.1703, 0.8297, 0.5000)
Pd (0.8297, 0.1703, 0.5000)

Results
Magnetization   0.00 μB per formula unit
Formation energy   -67.9 kJ/mol of atoms